1.
VASP calculation (PBE) on crystalline Dy2HoTm2Sc at its relaxed geometry.

## Properties
Its crystal system is orthorhombic.

Cell lengths 6.853, 9.477, 5.480 Å; angles 90.00, 90.00, 90.00 degrees
Space group Pnnm (No. 58)
Unique sites:
1 Dy 0.247 0.166 0.000
2 Ho 0.000 0.500 0.000
3 Tm 0.249 0.833 0.000
4 Sc 0.000 0.000 0.500

2.
VASP calculation (PBE) on crystalline Dy6Ho2Tm3Sc at its relaxed geometry.

## Properties
Its crystal system is monoclinic.

Cell lengths 6.070, 10.503, 11.589 Å; angles 90.00, 100.02, 90.00 degrees
Space group C2/m (No. 12)
Unique sites:
1 Dy 0.248 0.166 0.249
2 Dy 0.249 0.000 0.751
3 Ho 0.000 0.333 0.000
4 Tm 0.000 0.166 0.500
5 Tm 0.000 0.500 0.500
6 Sc 0.000 0.000 0.000

no.,total DFT energy (no corrections) (eV per atom)
1,-4.75
2,-4.68